DFT (PBE) results for Ba2Li3ScBi4 after structural relaxation.

Cell lengths 5.002, 5.002, 11.975 Å; angles 90.00, 90.00, 90.00 degrees
Site moments in Bohr magnetons follow the coordinates.
Fractional positions:
Li 0.500 0.000 0.877  0.00
Ba 0.500 0.000 0.231  0.02
Sc 0.500 0.500 0.500  0.26
Bi 0.000 0.000 0.000  0.00
Bi 0.000 0.500 0.363  -0.02
Bi 0.500 0.500 0.000  0.00
Li 0.000 0.500 0.123  0.00
Ba 0.000 0.500 0.769  0.02
Li 0.000 0.000 0.500  0.00
Bi 0.500 0.000 0.637  -0.02

Results
* spin magnetization: 0.53 Bohr magnetons per cell
* DFT formation energy: -68.1 kJ/mol of atoms
* final energy: -38.5 eV/cell